Entry 1:
{
  "formula": "Sr3TeI",
  "functional": "SCAN",
  "state": "single point on PBEsol structure",
  "lattice": [[6.233, 0.000, 0.000], [0.000, 6.233, 0.000], [0.000, 0.000, 6.233]],
  "species": ["Sr", "Sr", "Sr", "Te", "I"],
  "fractional_positions": [[0.000, 0.000, 0.500], [0.000, 0.500, 0.000], [0.500, 0.000, 0.000], [0.000, 0.000, 0.000], [0.500, 0.500, 0.500]],
  "formation_energy_uncorrected_ev_per_atom": -0.66,
  "total_energy_ev_per_cell": -144.1
}

Entry 2:
{
  "formula": "SrTe2WI",
  "functional": "SCAN",
  "state": "single point on PBEsol structure",
  "lattice": [[5.252, 0.000, 0.000], [0.000, 5.252, 0.000], [0.000, 0.000, 5.744]],
  "species": ["Sr", "Te", "Te", "W", "I"],
  "fractional_positions": [[0.000, 0.000, 0.000], [0.000, 0.500, 0.500], [0.500, 0.000, 0.500], [0.500, 0.500, 0.500], [0.500, 0.500, 0.000]],
  "formation_energy_uncorrected_ev_per_atom": -0.07,
  "total_energy_ev_per_cell": -203.5
}

Repeat the first record exactly.
{
  "formula": "Sr3TeI",
  "functional": "SCAN",
  "state": "single point on PBEsol structure",
  "lattice": [[6.233, 0.000, 0.000], [0.000, 6.233, 0.000], [0.000, 0.000, 6.233]],
  "species": ["Sr", "Sr", "Sr", "Te", "I"],
  "fractional_positions": [[0.000, 0.000, 0.500], [0.000, 0.500, 0.000], [0.500, 0.000, 0.000], [0.000, 0.000, 0.000], [0.500, 0.500, 0.500]],
  "formation_energy_uncorrected_ev_per_atom": -0.66,
  "total_energy_ev_per_cell": -144.1
}